Entry 1:
The following is a DFT calculation (GGA-PBE) of an optimized crystal structure of YReMo2.

Values from the calculation:
- E above lowest polymorph (eV/atom) = 0.3956

a = 3.8997 Å, b = 3.8997 Å, c = 4.7742 Å
α = 90.00°, β = 90.00°, γ = 90.00°
Last column: nearest neighbours and their distance in Å.
Space group P4/mmm (No. 123)
Symmetry-distinct sites (fractional):
Y: 0.0000 0.0000 0.0000 [1 per cell]  4 Re 2.76, 8 Mo 3.08
Re: 0.5000 0.5000 0.0000 [1 per cell]  4 Y 2.76, 8 Mo 3.08
Mo: 0.0000 0.5000 0.5000 [2 per cell]  4 Mo 2.76, 4 Re 3.08, 4 Y 3.08

---

Entry 2:
The following is a DFT calculation (GGA-PBE) of an optimized crystal structure of Y2ReMo.

Values from the calculation:
- E above lowest polymorph (eV/atom) = 0.2122

a = 3.3086 Å, b = 4.2696 Å, c = 6.6005 Å
α = 90.00°, β = 103.42°, γ = 90.00°
Last column: nearest neighbours and their distance in Å.
Space group Pm (No. 6)
Symmetry-distinct sites (fractional):
Y: 0.0000 0.0000 0.0000 [1 per cell]  1 Re 2.91, 2 Mo 2.95
Y: 0.2729 0.5000 0.6486 [1 per cell]  1 Mo 2.89, 2 Re 2.97
Re: 0.5731 0.0000 0.4068 [1 per cell]  2 Mo 2.49
Mo: 0.7121 0.5000 0.2416 [1 per cell]  2 Re 2.49

---

Entry 3:
The following is a DFT calculation (GGA-PBE) of an optimized crystal structure of YReMo2.

Values from the calculation:
- E above lowest polymorph (eV/atom) = 0.0500

a = 6.5244 Å, b = 6.5244 Å, c = 6.5244 Å
α = 90.00°, β = 90.00°, γ = 90.00°
Last column: nearest neighbours and their distance in Å.
Space group Fm-3m (No. 225)
Symmetry-distinct sites (fractional):
Y: 0.0000 0.0000 0.0000 [4 per cell]  8 Mo 2.83
Re: 0.0000 0.0000 0.5000 [4 per cell]  8 Mo 2.83
Mo: 0.2500 0.2500 0.2500 [8 per cell]  4 Y 2.83, 4 Re 2.83

---

Entry 4:
The following is a DFT calculation (GGA-PBE) of an optimized crystal structure of Y2Re2Mo.

Values from the calculation:
- E above lowest polymorph (eV/atom) = 0.9595

a = 8.6164 Å, b = 8.6164 Å, c = 2.7713 Å
α = 90.00°, β = 90.00°, γ = 90.00°
Last column: nearest neighbours and their distance in Å.
Space group P4/mbm (No. 127)
Symmetry-distinct sites (fractional):
Y: 0.1307 0.3693 0.0000 [4 per cell]  6 Re 2.75-2.99, 2 Y 2.77
Re: 0.1740 0.6740 0.5000 [4 per cell]  6 Y 2.75-2.99, 2 Re 2.77
Mo: 0.0000 0.0000 0.0000 [2 per cell]  2 Mo 2.77

---

Entry 5:
The following is a DFT calculation (GGA-PBE) of an optimized crystal structure of Y2ReMo.

Values from the calculation:
- E above lowest polymorph (eV/atom) = 0.5050

a = 3.4566 Å, b = 3.4566 Å, c = 7.1064 Å
α = 90.00°, β = 90.00°, γ = 90.00°
Last column: nearest neighbours and their distance in Å.
Space group P4/mmm (No. 123)
Symmetry-distinct sites (fractional):
Y: 0.0000 0.0000 0.2392 [2 per cell]  4 Re 2.98, 4 Mo 3.07
Re: 0.5000 0.5000 0.0000 [1 per cell]  8 Y 2.98
Mo: 0.5000 0.5000 0.5000 [1 per cell]  8 Y 3.07

---

Entry 6:
The following is a DFT calculation (GGA-PBE) of an optimized crystal structure of YReMo.

Values from the calculation:
- E above lowest polymorph (eV/atom) = 0.6748

a = 6.3669 Å, b = 6.3669 Å, c = 6.3669 Å
α = 90.00°, β = 90.00°, γ = 90.00°
Last column: nearest neighbours and their distance in Å.
Space group F-43m (No. 216)
Symmetry-distinct sites (fractional):
Y: 0.0000 0.0000 0.0000 [4 per cell]  4 Re 2.76
Re: 0.2500 0.2500 0.7500 [4 per cell]  4 Mo 2.76, 4 Y 2.76
Mo: 0.0000 0.0000 0.5000 [4 per cell]  4 Re 2.76

---

Entry 7:
The following is a DFT calculation (GGA-PBE) of an optimized crystal structure of ZnRe2Mo.

a = 2.7857 Å, b = 2.7857 Å, c = 7.7665 Å
α = 90.00°, β = 90.00°, γ = 90.00°
Last column: nearest neighbours and their distance in Å.
Space group P4/mmm (No. 123)
Symmetry-distinct sites (fractional):
Zn: 0.0000 0.0000 0.0000 [1 per cell]  8 Re 2.76, 4 Zn 2.79
Re: 0.5000 0.5000 0.2494 [2 per cell]  4 Zn 2.76, 4 Mo 2.77, 4 Re 2.79
Mo: 0.0000 0.0000 0.5000 [1 per cell]  8 Re 2.77, 4 Mo 2.79

---

Entry 8:
The following is a DFT calculation (GGA-PBE) of an optimized crystal structure of Zn2ReMo.

Values from the calculation:
- E above lowest polymorph (eV/atom) = 0.3604

a = 6.1352 Å, b = 6.1352 Å, c = 6.1352 Å
α = 90.00°, β = 90.00°, γ = 90.00°
Last column: nearest neighbours and their distance in Å.
Space group Fm-3m (No. 225)
Symmetry-distinct sites (fractional):
Zn: 0.2500 0.2500 0.2500 [8 per cell]  4 Mo 2.66, 4 Re 2.66
Re: 0.0000 0.0000 0.0000 [4 per cell]  8 Zn 2.66
Mo: 0.0000 0.0000 0.5000 [4 per cell]  8 Zn 2.66

---

no.,DFT formation energy (eV per atom)
1,0.623
2,0.294
3,0.277
4,1.106
5,0.587
6,0.592
7,0.293
8,0.472